First-principles (PBE) data for a geometry-optimized KIn2BiAu structure, as listed in the Alexandria database.

The structure in extended XYZ format:
```
5
Lattice="-3.0797 0.0217 4.1591 3.5835 -2.6114 2.6672 2.9344 6.2128 2.1405" Properties=species:S:1:pos:R:3 pbc="T T T"
K 5.0031 0.3940 3.7026
In 4.4791 4.3843 3.2938
In 1.1476 5.7007 4.0398
Bi 2.1619 2.7490 4.8063
Au 0.0990 0.2093 0.0722
```

Output
The magnetization comes out at 0.0 μB per cell. The theoretical density comes out at 5.81 g/cm3. The calculation puts the final energy at -2.897 eV/atom. The density of states at the Fermi level is 0.36 states/eV per atom.